# Sc4CoNi

A geometry-optimized Sc4CoNi structure (PBE-GGA, Alexandria).

Summary:
Relative energy among the computed polymorphs, kJ per mole of atoms: 0.00
Spin magnetization, μB/cell: 0.00

extended XYZ file:
```
12
Lattice="5.3361 0.0854 -1.8425 -2.3495 5.8896 -2.8230 0.1665 0.0461 7.2804" Properties=species:S:1:pos:R:3 pbc="T T T"
Sc 3.4138 0.3759 1.2609
Sc 2.7103 4.1821 1.2543
Sc 0.5573 3.8333 3.8956
Sc -0.2607 5.6452 1.3539
Sc 2.5958 2.1878 -1.2807
Sc 3.4788 4.5974 -3.0544
Sc 0.4428 1.8390 1.3606
Sc -0.3257 1.4237 5.6693
Co 1.3385 0.0296 -0.4472
Co 1.8146 5.9915 3.0621
Ni 2.5427 2.2304 3.1422
Ni 0.6104 3.7907 -0.5273
```

=====

# Sc2Co3Ni

A geometry-optimized Sc2Co3Ni structure (PBE-GGA, Alexandria).

Summary:
Spin magnetization, μB/cell: 2.77

extended XYZ file:
```
6
Lattice="-2.3031 2.6492 3.3227 -0.2013 -4.8257 0.1876 4.9280 -0.2027 0.0669" Properties=species:S:1:pos:R:3 pbc="T T T"
Co 1.2118 -1.1896 1.7886
Co 2.4640 -0.1013 0.0334
Co 1.3125 1.2232 1.6948
Ni 0.0000 0.0000 0.0000
Sc -1.1636 0.1516 2.5871
Sc 3.5872 -2.5308 0.9901
```

=====

# Sc6Co2Ni

A geometry-optimized Sc6Co2Ni structure (PBE-GGA, Alexandria).

Summary:
Spin magnetization, μB/cell: 0.00

extended XYZ file:
```
18
Lattice="-7.5231 1.0332 0.3077 1.7321 -6.8143 2.8852 3.7033 5.2239 4.0934" Properties=species:S:1:pos:R:3 pbc="T T T"
Sc -2.2300 -0.4334 1.6381
Sc -2.0864 1.7398 4.0218
Sc 0.6377 0.7910 2.5886
Sc 2.8333 2.5627 4.1645
Sc -5.4324 -0.5560 1.2221
Sc 3.3447 -0.0011 6.0642
Sc 1.8773 -2.8467 5.6766
Sc -2.7254 -1.3481 4.6977
Sc -4.9211 -3.1199 3.1218
Sc -0.0014 -2.2970 3.2645
Sc 0.1422 -0.1238 5.6483
Sc -3.9651 2.2895 1.6097
Ni 0.0000 0.0000 0.0000
Ni 2.7177 -0.7952 3.4893
Co -2.5399 4.1605 2.9264
Co -2.2278 -3.0859 2.4537
Co 0.1401 2.5287 4.8326
Co -1.2799 2.0966 1.4747
```

=====

# ScCo2Ni

A geometry-optimized ScCo2Ni structure (PBE-GGA, Alexandria).

Summary:
Spin magnetization, μB/cell: 2.60

extended XYZ file:
```
4
Lattice="-3.4696 -2.1190 -2.7582 0.7315 -1.6330 4.5754 -2.2632 0.7874 1.2443" Properties=species:S:1:pos:R:3 pbc="T T T"
Co 0.0000 0.0000 0.0000
Co -1.3690 -1.8760 0.9086
Sc -0.7659 -0.4228 2.9098
Ni -2.8664 -0.6658 -0.7569
```

=====

# ScCo2Ni

A geometry-optimized ScCo2Ni structure (PBE-GGA, Alexandria).

Summary:
Spin magnetization, μB/cell: 5.72

extended XYZ file:
```
8
Lattice="3.5412 0.0000 0.0000 0.0000 3.5412 0.0000 1.7706 1.7706 8.9405" Properties=species:S:1:pos:R:3 pbc="T T T"
Sc 1.7706 1.7706 0.0000
Sc 1.7706 3.5412 4.4702
Co 4.4265 4.5293 6.7054
Co 2.7587 0.8853 2.2351
Co 0.7825 2.6559 2.2351
Co 2.6559 2.5531 6.7054
Ni 0.0000 0.0000 0.0000
Ni 3.5412 1.7706 4.4702
```

=====

# ScCoNi2

A geometry-optimized ScCoNi2 structure (PBE-GGA, Alexandria).

Summary:
Spin magnetization, μB/cell: 2.13

extended XYZ file:
```
8
Lattice="-1.0768 1.5666 3.0607 -1.5151 -3.0953 1.0513 6.0537 -3.0808 5.8275" Properties=species:S:1:pos:R:3 pbc="T T T"
Co 0.0000 0.0000 0.0000
Co 1.8405 -1.1392 5.4721
Ni 2.2243 -3.7463 8.0020
Ni 0.6169 -0.1283 3.5982
Ni 0.4660 -2.5586 2.3996
Ni 3.6163 -2.7857 5.8793
Sc -1.2960 -0.7643 2.0560
Sc 1.6213 -3.4702 4.4674
```

=====

# ScCo2Ni

A geometry-optimized ScCo2Ni structure (PBE-GGA, Alexandria).

Summary:
Spin magnetization, μB/cell: 2.74

extended XYZ file:
```
4
Lattice="4.4982 -0.0027 -0.0255 1.3047 4.3048 0.0255 -2.8868 -2.1708 2.6811" Properties=species:S:1:pos:R:3 pbc="T T T"
Ni 2.9016 2.1512 0.0000
Co 5.8028 4.3021 0.0000
Co 2.2563 -0.0113 1.3278
Sc 0.6597 2.1425 1.3533
```

=====

# Sc6CoNi

A geometry-optimized Sc6CoNi structure (PBE-GGA, Alexandria).

Summary:
Relative energy among the computed polymorphs, kJ per mole of atoms: 0.00
Spin magnetization, μB/cell: 1.03

extended XYZ file:
```
8
Lattice="4.3322 0.0002 1.3045 -0.3931 4.3142 1.3049 -0.2138 -0.2351 8.5561" Properties=species:S:1:pos:R:3 pbc="T T T"
Sc 0.0050 2.3770 7.8295
Sc 0.8691 0.9516 4.9590
Sc 1.3578 3.8593 3.3362
Sc 2.8562 3.1277 6.2064
Sc 2.3675 0.2200 7.8292
Sc 3.7203 1.7023 3.3359
Ni 1.9695 2.1572 1.3047
Co 0.0000 0.0000 0.0000
```

=====

Computed values of energy of formation (unit: eV per atom) for the preceding records, in sequence: -0.28, -0.39, -0.29, 0.02, 0.16, 0.12, -0.13, -0.18.